## AgTe3Se (PBE-GGA)

Data for a relaxed structure of AgTe3Se.

abc: 5.469 5.469 5.469
angles: 90.00 90.00 90.00
Fractional positions:
Ag (0.000, 0.000, 0.000)
Te (0.000, 0.500, 0.500)
Te (0.500, 0.000, 0.500)
Te (0.500, 0.500, 0.000)
Se (0.500, 0.500, 0.500)

Calculated values
polymorph energy (0 for the lowest one) = 452.5 meV/atom
crystal system = cubic
energy relative to the elements, uncorrected = 13.63 kcal/mol of atoms
spin magnetization = 0.0 Bohr magnetons per cell

=====

## NaSbH2O4 (PBE-GGA)

Data for a relaxed structure of NaSbH2O4.

abc: 4.957 4.957 4.957
angles: 125.31 104.03 100.34
Fractional positions:
Na (0.000, 0.000, 0.000)
Sb (0.500, 0.500, 0.000)
H (0.315, 0.815, 0.500)
H (0.685, 0.185, 0.500)
O (0.185, 0.024, 0.593)
O (0.431, 0.593, 0.407)
O (0.569, 0.976, 0.161)
O (0.815, 0.407, 0.839)

Calculated values
total energy = -41.2 eV for the cell shown
crystal system = orthorhombic
spin magnetization = 0.0 Bohr magnetons per cell